! RuW3Se, optimized geometry, DFT PBE; values from VASP
! distance to the lowest polymorph of the same formula	199.4	meV per atom
! Fermi-level density of states	1.342	states/eV/atom
! uncorrected formation energy	2010	meV per atom
! spin magnetization	0.000	μB per cell
! crystal system	cubic
! space-group type	Pm-3m, No. 221
! DFT total energy	-8.314	eV per atom
&SYSTEM
  ibrav = 0, nat = 5, ntyp = 3
/
ATOMIC_SPECIES
Ru 101.07 Ru.upf
W 183.84 W.upf
Se 78.96 Se.upf
CELL_PARAMETERS angstrom
4.724 0.000 0.000
0.000 4.724 0.000
0.000 0.000 4.724
ATOMIC_POSITIONS angstrom
Ru 0.000 0.000 0.000
W 0.000 0.000 2.362
W 0.000 2.362 0.000
W 2.362 0.000 0.000
Se 2.362 2.362 2.362

***

! RuW2Se, optimized geometry, DFT PBE; values from VASP
! Fermi-level density of states	0.774	states/eV/atom
! uncorrected formation energy	320	meV per atom
! spin magnetization	0.000	μB per cell
! crystal system	orthorhombic
! space-group type	Imm2, No. 44
! DFT total energy	-9.347	eV per atom
&SYSTEM
  ibrav = 0, nat = 4, ntyp = 3
/
ATOMIC_SPECIES
Ru 101.07 Ru.upf
W 183.84 W.upf
Se 78.96 Se.upf
CELL_PARAMETERS angstrom
-1.488 2.258 4.566
1.488 -2.258 4.566
1.488 2.258 -4.566
ATOMIC_POSITIONS angstrom
Ru 0.000 0.000 0.000
W 1.488 0.000 2.370
W 0.000 0.000 4.988
Se 0.000 2.258 2.485